# 1
Here is an optimized crystal structure of NaTl2PdCl6 from Alexandria. Energies are from PBE.

Cell lengths 13.824, 13.824, 13.824 Å; angles 29.75, 29.75, 29.75 degrees
Sites, in units of the cell vectors:
Na 0.085 0.085 0.085
Na 0.915 0.915 0.915
Tl 0.193 0.193 0.193
Tl 0.362 0.362 0.362
Tl 0.638 0.638 0.638
Tl 0.807 0.807 0.807
Pd 0.000 0.000 0.000
Pd 0.500 0.500 0.500
Cl 0.126 0.126 0.641
Cl 0.126 0.641 0.126
Cl 0.210 0.698 0.698
Cl 0.302 0.302 0.790
Cl 0.302 0.790 0.302
Cl 0.359 0.874 0.874
Cl 0.641 0.126 0.126
Cl 0.698 0.210 0.698
Cl 0.698 0.698 0.210
Cl 0.790 0.302 0.302
Cl 0.874 0.359 0.874
Cl 0.874 0.874 0.359

Calculated values
ΔE_f (raw) ... -0.9085 eV/atom

# 2
Here is an optimized crystal structure of UGa3CuAu from Alexandria. Energies are from PBE.

Cell lengths 7.504, 7.504, 5.905 Å; angles 90.00, 90.00, 136.51 degrees
Sites, in units of the cell vectors:
U 0.193 0.807 0.750
U 0.807 0.193 0.250
Ga 0.223 0.223 0.000
Ga 0.223 0.223 0.500
Ga 0.378 0.622 0.250
Ga 0.622 0.378 0.750
Ga 0.777 0.777 0.000
Ga 0.777 0.777 0.500
Cu 0.397 0.603 0.750
Cu 0.603 0.397 0.250
Au 0.177 0.823 0.250
Au 0.823 0.177 0.750

Calculated values
ΔE_f ... 0.07 eV per atom

# 3
Here is an optimized crystal structure of Ga3Ni from Alexandria. Energies are from PBE.

Cell lengths 6.328, 6.328, 6.612 Å; angles 90.00, 90.00, 90.00 degrees
Sites, in units of the cell vectors:
Ga 0.000 0.500 0.000
Ga 0.000 0.500 0.500
Ga 0.154 0.154 0.240
Ga 0.154 0.154 0.760
Ga 0.346 0.654 0.260
Ga 0.346 0.654 0.740
Ga 0.500 0.000 0.000
Ga 0.500 0.000 0.500
Ga 0.654 0.346 0.260
Ga 0.654 0.346 0.740
Ga 0.846 0.846 0.240
Ga 0.846 0.846 0.760
Ni 0.155 0.845 0.000
Ni 0.345 0.345 0.500
Ni 0.655 0.655 0.500
Ni 0.845 0.155 0.000

Calculated values
ΔE_f ... -0.20 eV per atom

# 4
Here is an optimized crystal structure of DyUAsN2 from Alexandria. Energies are from PBE.

Cell lengths 6.521, 6.521, 6.521 Å; angles 145.98, 145.98, 48.88 degrees
Sites, in units of the cell vectors:
Dy 0.000 0.000 0.000
U 0.310 0.310 0.000
As 0.662 0.662 0.000
N 0.392 0.892 0.500
N 0.892 0.392 0.500

Calculated values
ΔE_f (raw) ... -1.3554 eV/atom

# 5
Here is an optimized crystal structure of LaAuI3 from Alexandria. Energies are from PBE.

Cell lengths 6.281, 6.281, 6.281 Å; angles 90.00, 90.00, 90.00 degrees
Sites, in units of the cell vectors:
La 0.000 0.000 0.000
Au 0.500 0.500 0.500
I 0.000 0.000 0.500
I 0.000 0.500 0.000
I 0.500 0.000 0.000

Calculated values
ΔE_f (raw) ... -0.5891 eV/atom

# 6
Here is an optimized crystal structure of MnOsRu2 from Alexandria. Energies are from PBE.

Cell lengths 4.639, 4.639, 4.627 Å; angles 99.37, 99.37, 33.69 degrees
Sites, in units of the cell vectors:
Mn 0.000 0.000 0.000
Os 0.500 0.500 0.500
Ru 0.249 0.249 0.751
Ru 0.751 0.751 0.249

Calculated values
Relative energy among the computed polymorphs ... 10.9 meV per atom
ΔE_f ... 0.09 eV per atom

Number 1: raw total energy -3.14 eV per atom. Number 2: raw total energy -4.55 eV per atom. Number 3: raw total energy -3.92 eV per atom. Number 4: raw total energy -8.79 eV per atom. Number 5: raw total energy -3.16 eV per atom. Number 6: raw total energy -9.65 eV per atom.